(1)
Entry from the Alexandria database: a relaxed structure of La2TmSc (PBE).

Lattice parameters (Å, degrees): 11.7036 11.7036 11.7036 17.51 17.51 17.51
Last column: nearest neighbours and their distance in Å.
Element x y z (fractional)
La1 0.0000 0.0000 0.0000  3 Sc 3.44, 6 La 3.56, 3 Tm 3.57
La2 0.1611 0.1611 0.1611  3 Sc 3.48, 6 La 3.56, 3 Tm 3.66
Tm1 0.5822 0.5822 0.5822  6 Tm 3.56, 6 La 3.57-3.66
Sc1 0.4132 0.4132 0.4132  6 La 3.44-3.48, 6 Sc 3.56

## Properties
The value obtained for the electronic total energy is -20.37 eV/cell. The total magnetization is 0.0 μB/cell. As for the symmetry: R3m, No. 160.

(2)
Entry from the Alexandria database: a relaxed structure of La7Tm2Sc2 (PBE).

Lattice parameters (Å, degrees): 8.0320 8.0320 6.1333 104.36 104.36 92.60
Last column: nearest neighbours and their distance in Å.
Element x y z (fractional)
La1 0.0000 0.0000 0.0000  4 La 3.38, 2 Tm 3.53
La2 0.0523 0.5789 0.8093  3 La 3.18-3.56, 2 Sc 3.26-3.38, 1 Tm 3.37
La3 0.4211 0.9477 0.1907  3 La 3.18-3.56, 2 Sc 3.26-3.38, 1 Tm 3.37
La4 0.4244 0.4244 0.2039  6 La 3.41-3.82, 2 Tm 3.66-3.74, 2 Sc 3.73
La5 0.5756 0.5756 0.7961  6 La 3.41-3.82, 2 Tm 3.66-3.74, 2 Sc 3.73
La6 0.5789 0.0523 0.8093  3 La 3.18-3.56, 2 Sc 3.26-3.38, 1 Tm 3.37
La7 0.9477 0.4211 0.1907  3 La 3.18-3.56, 2 Sc 3.26-3.38, 1 Tm 3.37
Tm1 0.2146 0.2146 0.5868  2 Sc 3.36, 7 La 3.37-3.74
Tm2 0.7854 0.7854 0.4132  2 Sc 3.36, 7 La 3.37-3.74
Sc1 0.2147 0.7853 0.5000  4 La 3.26-3.38, 2 Tm 3.36
Sc2 0.7853 0.2147 0.5000  4 La 3.26-3.38, 2 Tm 3.36

## Properties
The value obtained for the electronic total energy is -54.64 eV/cell. The total magnetization is 0.0 μB/cell. As for the symmetry: C2/m, No. 12.

(3)
Entry from the Alexandria database: a relaxed structure of LaTmSc3 (PBE).

Lattice parameters (Å, degrees): 6.4641 6.4641 7.7789 101.92 101.92 66.17
Last column: nearest neighbours and their distance in Å.
Element x y z (fractional)
La1 0.1040 0.1040 0.2098  8 Sc 3.36-3.75, 1 Tm 3.39, 1 La 3.48
La2 0.8960 0.8960 0.7902  8 Sc 3.36-3.75, 1 Tm 3.39, 1 La 3.48
Tm1 0.3432 0.3432 0.9996  6 Sc 3.11-3.42, 1 La 3.39, 1 Tm 3.40
Tm2 0.6568 0.6568 0.0004  6 Sc 3.11-3.42, 1 La 3.39, 1 Tm 3.40
Sc1 0.0704 0.6438 0.3473  4 Sc 2.95-3.28
Sc2 0.3562 0.9296 0.6527  4 Sc 2.95-3.28
Sc3 0.4076 0.4076 0.6314  7 Sc 2.95-3.28, 1 Tm 3.11
Sc4 0.5924 0.5924 0.3686  7 Sc 2.95-3.28, 1 Tm 3.11
Sc5 0.6438 0.0704 0.3473  4 Sc 2.95-3.28
Sc6 0.9296 0.3562 0.6527  4 Sc 2.95-3.28

## Properties
The value obtained for the electronic total energy is -55.05 eV/cell. The total magnetization is 0.0 μB/cell. As for the symmetry: C2/m, No. 12.

(4)
Entry from the Alexandria database: a relaxed structure of La2Tm12Sc (PBE).

Lattice parameters (Å, degrees): 3.5026 5.6121 23.7771 90.00 90.19 90.00
Last column: nearest neighbours and their distance in Å.
Element x y z (fractional)
La1 0.2415 0.0000 0.2690  2 La 3.50, 10 Tm 3.61-3.90
La2 0.7585 0.0000 0.7310  2 La 3.50, 10 Tm 3.61-3.90
Tm1 0.2419 0.5000 0.8050  7 Tm 3.20-3.53
Tm2 0.2487 0.5000 0.4449  10 Tm 3.15-3.50
Tm3 0.2512 0.0000 0.5719  8 Tm 3.33-3.66
Tm4 0.2562 0.5000 0.6704  5 Tm 3.20-3.50
Tm5 0.2675 0.5000 0.0671  2 Sc 3.36, 10 Tm 3.48-3.70
Tm6 0.2911 0.0000 0.8754  1 Sc 3.14, 6 Tm 3.27-3.50
Tm7 0.7089 0.0000 0.1246  1 Sc 3.14, 6 Tm 3.27-3.50
Tm8 0.7325 0.5000 0.9329  2 Sc 3.36, 10 Tm 3.48-3.70
Tm9 0.7438 0.5000 0.3296  5 Tm 3.20-3.50
Tm10 0.7488 0.0000 0.4281  8 Tm 3.33-3.66
Tm11 0.7513 0.5000 0.5551  10 Tm 3.15-3.50
Tm12 0.7581 0.5000 0.1950  7 Tm 3.20-3.53
Sc1 0.0000 0.0000 0.0000  6 Tm 3.14-3.36, 2 Sc 3.50

## Properties
The value obtained for the electronic total energy is -67.91 eV/cell. The total magnetization is 0.0 μB/cell. As for the symmetry: P2/m, No. 10.

(5)
Entry from the Alexandria database: a relaxed structure of LaTm2Sc (PBE).

Lattice parameters (Å, degrees): 11.5155 11.5155 11.5155 17.53 17.53 17.53
Last column: nearest neighbours and their distance in Å.
Element x y z (fractional)
La1 0.0000 0.0000 0.0000  6 La 3.51, 6 Tm 3.61-3.66
Tm1 0.5769 0.5769 0.5769  3 Sc 3.35, 6 Tm 3.51, 3 La 3.66
Tm2 0.7546 0.7546 0.7546  3 Sc 3.32, 6 Tm 3.51, 3 La 3.61
Sc1 0.1652 0.1652 0.1652  6 Tm 3.32-3.35, 6 Sc 3.51

## Properties
The value obtained for the electronic total energy is -19.97 eV/cell. The total magnetization is 0.0 μB/cell. As for the symmetry: R3m, No. 160.

(6)
Entry from the Alexandria database: a relaxed structure of LaTmSc (PBE).

Lattice parameters (Å, degrees): 3.7299 3.7299 13.2964 90.00 90.00 90.00
Last column: nearest neighbours and their distance in Å.
Element x y z (fractional)
La1 0.2500 0.2500 0.0969  8 La 3.69-3.73, 4 Tm 3.69
La2 0.7500 0.7500 0.9031  8 La 3.69-3.73, 4 Tm 3.69
Tm1 0.2500 0.2500 0.7087  5 Sc 3.29-3.58
Tm2 0.7500 0.7500 0.2913  5 Sc 3.29-3.58
Sc1 0.2500 0.2500 0.4397  4 Sc 3.09, 4 Tm 3.29
Sc2 0.7500 0.7500 0.5603  4 Sc 3.09, 4 Tm 3.29

## Properties
The value obtained for the electronic total energy is -31.15 eV/cell. The total magnetization is 0.0 μB/cell. As for the symmetry: P4/nmm, No. 129.

(7)
Entry from the Alexandria database: a relaxed structure of LaTmSc (PBE).

Lattice parameters (Å, degrees): 7.7486 7.7486 7.7486 153.69 153.69 37.54
Last column: nearest neighbours and their distance in Å.
Element x y z (fractional)
La1 0.0000 0.0000 0.0000  4 Sc 3.48, 4 La 3.53, 4 Tm 3.63
Tm1 0.6794 0.6794 0.0000  4 Sc 3.37, 4 Tm 3.53, 4 La 3.63
Sc1 0.3344 0.3344 0.0000  4 Tm 3.37, 4 La 3.48, 4 Sc 3.53

## Properties
The value obtained for the electronic total energy is -15.53 eV/cell. The total magnetization is 0.0 μB/cell. As for the symmetry: I4mm, No. 107.

(8)
Entry from the Alexandria database: a relaxed structure of La14TmSc (PBE).

Lattice parameters (Å, degrees): 10.4695 7.3389 7.3389 90.08 90.00 90.00
Last column: nearest neighbours and their distance in Å.
Element x y z (fractional)
La1 0.0000 0.9996 0.9996  12 La 3.67-3.70
La2 0.0000 0.0003 0.4993  12 La 3.67-3.72
La3 0.0000 0.4993 0.0003  12 La 3.67-3.72
La4 0.0000 0.5000 0.5000  12 La 3.67-3.75
La5 0.2542 0.7532 0.7532  10 La 3.62-3.74, 1 Sc 3.63, 1 Tm 3.68
La6 0.2548 0.2464 0.2464  10 La 3.62-3.75, 1 Sc 3.62, 1 Tm 3.67
La7 0.2545 0.2465 0.7531  10 La 3.62-3.74, 1 Sc 3.63, 1 Tm 3.68
La8 0.2545 0.7531 0.2465  10 La 3.62-3.74, 1 Sc 3.63, 1 Tm 3.68
La9 0.5000 0.5002 0.9994  8 La 3.65, 2 Sc 3.67, 2 Tm 3.67
La10 0.5000 0.9994 0.5002  8 La 3.65, 2 Sc 3.67, 2 Tm 3.67
La11 0.7452 0.2464 0.2464  10 La 3.62-3.75, 1 Sc 3.62, 1 Tm 3.67
La12 0.7455 0.2465 0.7531  10 La 3.62-3.74, 1 Sc 3.63, 1 Tm 3.68
La13 0.7455 0.7531 0.2465  10 La 3.62-3.74, 1 Sc 3.63, 1 Tm 3.68
La14 0.7458 0.7532 0.7532  10 La 3.62-3.74, 1 Sc 3.63, 1 Tm 3.68
Tm1 0.5000 0.4998 0.4998  12 La 3.67-3.68
Sc1 0.5000 0.9998 0.9998  12 La 3.62-3.67

## Properties
The value obtained for the electronic total energy is -79.52 eV/cell. The total magnetization is 0.0 μB/cell. As for the symmetry: Amm2, No. 38.

(9)
Entry from the Alexandria database: a relaxed structure of LaTmSc (PBE).

Lattice parameters (Å, degrees): 3.4581 4.9021 10.8309 90.00 99.12 90.00
Last column: nearest neighbours and their distance in Å.
Element x y z (fractional)
La1 0.0513 0.2500 0.0985  4 La 3.23-3.46, 1 Sc 3.46, 4 Tm 3.53
La2 0.9487 0.7500 0.9015  4 La 3.23-3.46, 1 Sc 3.46, 4 Tm 3.53
Tm1 0.3622 0.2500 0.7270  5 Sc 3.26-3.40, 2 Tm 3.46, 4 La 3.53
Tm2 0.6378 0.7500 0.2730  5 Sc 3.26-3.40, 2 Tm 3.46, 4 La 3.53
Sc1 0.2115 0.2500 0.4223  5 Tm 3.26-3.40, 6 Sc 3.43-3.46, 1 La 3.46
Sc2 0.7885 0.7500 0.5777  5 Tm 3.26-3.40, 6 Sc 3.43-3.46, 1 La 3.46

## Properties
The value obtained for the electronic total energy is -30.82 eV/cell. The total magnetization is 0.0 μB/cell. As for the symmetry: P2_1/m, No. 11.

(10)
Entry from the Alexandria database: a relaxed structure of La3Tm4Sc (PBE).

Lattice parameters (Å, degrees): 8.8285 8.8285 3.4851 101.25 101.25 82.82
Last column: nearest neighbours and their distance in Å.
Element x y z (fractional)
La1 0.0000 0.0000 0.0000  6 La 3.49-3.74, 8 Tm 3.87-3.88
La2 0.2587 0.2587 0.7591  6 Tm 3.41-3.60, 4 La 3.49-3.74, 2 Sc 3.54-3.55
La3 0.7413 0.7413 0.2409  6 Tm 3.41-3.60, 4 La 3.49-3.74, 2 Sc 3.54-3.55
Tm1 0.1244 0.6084 0.3647  1 Sc 3.30, 3 La 3.41-3.60, 5 Tm 3.42-3.49
Tm2 0.3916 0.8756 0.6353  1 Sc 3.30, 3 La 3.41-3.60, 5 Tm 3.42-3.49
Tm3 0.6084 0.1244 0.3647  1 Sc 3.30, 3 La 3.41-3.60, 5 Tm 3.42-3.49
Tm4 0.8756 0.3916 0.6353  1 Sc 3.30, 3 La 3.41-3.60, 5 Tm 3.42-3.49
Sc1 0.5000 0.5000 0.5000  4 Tm 3.30, 2 Sc 3.49, 4 La 3.54-3.55

## Properties
The value obtained for the electronic total energy is -37.83 eV/cell. The total magnetization is 0.0 μB/cell. As for the symmetry: C2/m, No. 12.

(11)
Entry from the Alexandria database: a relaxed structure of LaTm8Sc4 (PBE).

Lattice parameters (Å, degrees): 9.5921 9.5921 9.5921 43.24 43.24 43.24
Last column: nearest neighbours and their distance in Å.
Element x y z (fractional)
La1 0.0000 0.0000 0.0000  6 Tm 2.87
Tm1 0.2522 0.2522 0.7010  1 La 2.87, 1 Sc 3.15, 2 Tm 3.17
Tm2 0.2522 0.7010 0.2522  1 La 2.87, 1 Sc 3.15, 2 Tm 3.17
Tm3 0.2793 0.2793 0.2793  9 Tm 3.56-3.68, 3 Sc 3.57
Tm4 0.2990 0.7478 0.7478  1 La 2.87, 1 Sc 3.15, 2 Tm 3.17
Tm5 0.7010 0.2522 0.2522  1 La 2.87, 1 Sc 3.15, 2 Tm 3.17
Tm6 0.7207 0.7207 0.7207  9 Tm 3.56-3.68, 3 Sc 3.57
Tm7 0.7478 0.2990 0.7478  1 La 2.87, 1 Sc 3.15, 2 Tm 3.17
Tm8 0.7478 0.7478 0.2990  1 La 2.87, 1 Sc 3.15, 2 Tm 3.17
Sc1 0.0000 0.0000 0.5000  6 Tm 3.34-3.57, 6 Sc 3.53
Sc2 0.0000 0.5000 0.0000  6 Tm 3.34-3.57, 6 Sc 3.53
Sc3 0.5000 0.0000 0.0000  6 Tm 3.34-3.57, 6 Sc 3.53
Sc4 0.5000 0.5000 0.5000  6 Tm 3.15

## Properties
The value obtained for the electronic total energy is -62.94 eV/cell. The total magnetization is 0.0 μB/cell. As for the symmetry: R-3m, No. 166.

(12)
Entry from the Alexandria database: a relaxed structure of LaTm4Sc15 (PBE).

Lattice parameters (Å, degrees): 4.7090 4.7090 23.5821 90.00 90.00 90.00
Last column: nearest neighbours and their distance in Å.
Element x y z (fractional)
La1 0.0000 0.0000 0.0000  12 Sc 3.33-3.39
Tm1 0.0000 0.0000 0.2022  12 Sc 3.31-3.33
Tm2 0.0000 0.0000 0.4009  12 Sc 3.32-3.33
Tm3 0.0000 0.0000 0.5991  12 Sc 3.32-3.33
Tm4 0.0000 0.0000 0.7978  12 Sc 3.31-3.33
Sc1 0.0000 0.5000 0.1035  2 Tm 3.31, 8 Sc 3.33-3.39, 2 La 3.39
Sc2 0.0000 0.5000 0.3016  8 Sc 3.31-3.33, 4 Tm 3.32
Sc3 0.0000 0.5000 0.5000  4 Tm 3.32, 8 Sc 3.32-3.33
Sc4 0.0000 0.5000 0.6984  8 Sc 3.31-3.33, 4 Tm 3.32
Sc5 0.0000 0.5000 0.8965  2 Tm 3.31, 8 Sc 3.33-3.39, 2 La 3.39
Sc6 0.5000 0.0000 0.1035  2 Tm 3.31, 8 Sc 3.33-3.39, 2 La 3.39
Sc7 0.5000 0.0000 0.3016  8 Sc 3.31-3.33, 4 Tm 3.32
Sc8 0.5000 0.0000 0.5000  4 Tm 3.32, 8 Sc 3.32-3.33
Sc9 0.5000 0.0000 0.6984  8 Sc 3.31-3.33, 4 Tm 3.32
Sc10 0.5000 0.0000 0.8965  2 Tm 3.31, 8 Sc 3.33-3.39, 2 La 3.39
Sc11 0.5000 0.5000 0.0000  4 La 3.33, 8 Sc 3.39
Sc12 0.5000 0.5000 0.2032  8 Sc 3.31-3.33, 4 Tm 3.33
Sc13 0.5000 0.5000 0.4008  8 Sc 3.32, 4 Tm 3.33
Sc14 0.5000 0.5000 0.5992  8 Sc 3.32, 4 Tm 3.33
Sc15 0.5000 0.5000 0.7968  8 Sc 3.31-3.33, 4 Tm 3.33

## Properties
The value obtained for the electronic total energy is -116.54 eV/cell. The total magnetization is 0.0 μB/cell. As for the symmetry: P4/mmm, No. 123.

| no. | calculated volume (Å³ per atom) | energy of formation (kJ/mol of atoms) |
| --- | --- | --- |
| 1 | 31.65 | 7.0 |
| 2 | 33.54 | 12.8 |
| 3 | 28.81 | 16.8 |
| 4 | 31.16 | 12.4 |
| 5 | 30.22 | 5.5 |
| 6 | 30.83 | 5.1 |
| 7 | 30.41 | 6.3 |
| 8 | 35.24 | 1.6 |
| 9 | 30.21 | 10.4 |
| 10 | 32.53 | 14.2 |
| 11 | 28.89 | 22.9 |
| 12 | 26.15 | 6.0 |